No. 1
{"formula": "TbNd2TmS6", "functional": "PBE", "state": "relaxed", "lattice": [[7.0438, 0.0002, 0.0004], [3.5220, 6.0999, 0.0002], [3.5219, 2.0336, 6.1897]], "species": ["Tb", "Nd", "Nd", "Tm", "S", "S", "S", "S", "S", "S"], "frac_coords": [[0.8159, 0.8160, 0.5522], [0.5229, 0.5229, 0.4313], [0.0218, 0.0219, 0.9345], [0.3174, 0.3173, 0.0479], [0.6027, 0.2011, 0.2570], [0.2011, 0.9391, 0.2570], [0.9392, 0.6027, 0.2570], [0.4330, 0.6983, 0.7594], [0.6984, 0.1092, 0.7594], [0.1092, 0.4331, 0.7595]], "dft_energy_ev_per_cell": -63.8, "raw_formation_energy_ev_per_atom": -2.036}


No. 2
{"formula": "Tb3Nd2TmS6", "functional": "PBE", "state": "relaxed", "lattice": [[3.9461, 0.0000, 0.0000], [0.0000, 7.9658, 0.2944], [-1.9731, -2.2859, 8.3118]], "species": ["Tb", "Tb", "Tb", "Nd", "Nd", "Tm", "S", "S", "S", "S", "S", "S"], "frac_coords": [[0.5000, 0.5000, 0.0000], [0.8301, 0.1667, 0.6602], [0.1699, 0.8333, 0.3398], [0.8321, 0.6637, 0.6642], [0.1679, 0.3363, 0.3358], [0.5000, 0.0000, 0.0000], [0.3370, 0.9271, 0.6740], [0.6631, 0.5910, 0.3261], [0.6630, 0.0729, 0.3260], [0.9962, 0.2415, 0.9925], [0.0038, 0.7585, 0.0075], [0.3369, 0.4090, 0.6739]], "dft_energy_ev_per_cell": -76.6, "raw_formation_energy_ev_per_atom": -1.998}


No. 3
{"formula": "Tb3Nd3TmS8", "functional": "PBE", "state": "relaxed", "lattice": [[7.9298, 0.0000, 0.0000], [-3.9649, 6.8673, -0.0245], [0.0000, -4.5556, 6.5818]], "species": ["Tb", "Tb", "Tb", "Nd", "Nd", "Nd", "Tm", "S", "S", "S", "S", "S", "S", "S", "S"], "frac_coords": [[0.5000, 0.0000, 0.5000], [0.5000, 0.5000, 0.5000], [0.0000, 0.5000, 0.5000], [0.0000, 0.0000, 0.0000], [0.0000, 0.5000, 0.0000], [0.5000, 0.5000, 0.0000], [0.0000, 0.0000, 0.5000], [0.2543, 0.5086, 0.2628], [0.7457, 0.4914, 0.7372], [0.7566, 0.5133, 0.2649], [0.2434, 0.4867, 0.7351], [0.7566, 0.0082, 0.2649], [0.2434, 0.9918, 0.7351], [0.2516, 0.0082, 0.2649], [0.7484, 0.9918, 0.7351]], "dft_energy_ev_per_cell": -96.5, "raw_formation_energy_ev_per_atom": -2.056}


No. 4
{"formula": "TbNd4TmS8", "functional": "PBE", "state": "relaxed", "lattice": [[8.2458, 0.0000, 0.0000], [4.1229, 7.1411, 0.0000], [4.1229, 2.3804, 6.7156]], "species": ["Tb", "Nd", "Nd", "Nd", "Nd", "Tm", "S", "S", "S", "S", "S", "S", "S", "S"], "frac_coords": [[0.0016, 0.0016, 0.9953], [0.6243, 0.6243, 0.1270], [0.0019, 0.4949, 0.5012], [0.4949, 0.0019, 0.5012], [0.0019, 0.0019, 0.5012], [0.3755, 0.3755, 0.8736], [0.2421, 0.7603, 0.7555], [0.7603, 0.2421, 0.7555], [0.2421, 0.2421, 0.7555], [0.2483, 0.2483, 0.2551], [0.7638, 0.2218, 0.2506], [0.2218, 0.7638, 0.2506], [0.7638, 0.7638, 0.2506], [0.7577, 0.7577, 0.7270]], "dft_energy_ev_per_cell": -87.9, "raw_formation_energy_ev_per_atom": -1.909}


No. 5
{"formula": "Tb4NdTm3S8", "functional": "PBE", "state": "relaxed", "lattice": [[-5.7413, 3.7938, -3.7416], [-2.9062, -6.8376, -2.4737], [1.1681, 1.2244, 7.6483]], "species": ["Tb", "Tb", "Tb", "Tb", "Nd", "Tm", "Tm", "Tm", "S", "S", "S", "S", "S", "S", "S", "S"], "frac_coords": [[0.5000, 0.0000, 0.0000], [0.5000, 0.0000, 0.5000], [0.0000, 0.0000, 0.0000], [0.0000, 0.0000, 0.5000], [0.0000, 0.5000, 0.0000], [0.5000, 0.5000, 0.0000], [0.5000, 0.5000, 0.5000], [0.0000, 0.5000, 0.5000], [0.2543, 0.7482, 0.9939], [0.2543, 0.7482, 0.5086], [0.2530, 0.2589, 0.5059], [0.7395, 0.7482, 0.9939], [0.2605, 0.2518, 0.0061], [0.7470, 0.7411, 0.4941], [0.7457, 0.2518, 0.4914], [0.7457, 0.2518, 0.0061]], "dft_energy_ev_per_cell": -101.3, "raw_formation_energy_ev_per_atom": -1.971}


No. 6
{"formula": "TbNdTm2S6", "functional": "PBE", "state": "relaxed", "lattice": [[6.9443, 0.0007, 0.0004], [3.4727, 6.0137, 0.0004], [3.4723, 2.0052, 6.1470]], "species": ["Tb", "Nd", "Tm", "Tm", "S", "S", "S", "S", "S", "S"], "frac_coords": [[0.3142, 0.3142, 0.0574], [0.8091, 0.8091, 0.5726], [0.5164, 0.5164, 0.4509], [0.0136, 0.0137, 0.9592], [0.6217, 0.2273, 0.2451], [0.2272, 0.9060, 0.2451], [0.9061, 0.6217, 0.2451], [0.3919, 0.7256, 0.7466], [0.7255, 0.1358, 0.7467], [0.1359, 0.3920, 0.7466]], "dft_energy_ev_per_cell": -63.6, "raw_formation_energy_ev_per_atom": -2.048}


Question: Which formula does entry 1 have?
Answer: TbNd2TmS6